No. 1
## ReSiPb2 (PBE)

Data for a geometry-optimized ReSiPb2 structure.

Space-group type: R-3m (166)
Formation energy without anion corrections in eV/atom: 0.97

POSCAR file:
```
ReSiPb2
1.0
1.584 0.915 10.220
-1.584 0.915 10.220
0.000 -1.830 10.220
Re Si Pb
1 1 2
direct
0.000 0.000 0.000
0.500 0.500 0.500
0.259 0.259 0.259
0.741 0.741 0.741
```

---

No. 2
## Mg2CrPb (PBE)

Data for a geometry-optimized Mg2CrPb structure.

Space-group type: P4/mmm (123)
ΔE_f in eV/f.u.: 1.047

POSCAR file:
```
Mg2CrPb
1.0
3.388 0.000 0.000
0.000 3.388 0.000
0.000 0.000 7.797
Mg Cr Pb
2 1 1
direct
0.000 0.000 0.215
0.000 0.000 0.785
0.500 0.500 0.000
0.500 0.500 0.500
```

---

No. 3
## BaAgIrF6 (PBE)

Data for a geometry-optimized BaAgIrF6 structure.

Space-group type: P312 (149)
Formation energy without anion corrections in eV/atom: -2.11

POSCAR file:
```
BaAgIrF6
1.0
6.047 0.000 0.000
-3.023 5.237 0.000
0.000 0.000 5.245
Ba Ag Ir F
1 1 1 6
direct
0.000 0.000 0.000
0.667 0.333 0.500
0.333 0.667 0.500
0.053 0.384 0.286
0.053 0.668 0.714
0.332 0.384 0.714
0.332 0.947 0.286
0.616 0.668 0.286
0.616 0.947 0.714
```